Computed, not measured: an optimized crystal structure of TbPuI6 at the PBE level of DFT.

**M_tot**: 5.00 μB/f.u.
**Calculated volume**: 429.6 Å³ per cell
**Calculated density**: 4.50 Mg/m³
**Space-group type**: C2/m
**Formation energy from raw total energies**: -1214 meV per atom
**Total energy**: -37.98 eV for the cell shown

Lattice parameters (Å, degrees): 7.971 7.971 7.801 91.40 91.40 119.80
Fractional coordinates of all 8 atoms:
Tb1 0.000 0.000 0.000
Pu1 0.000 0.000 0.500
I1 0.001 0.700 0.748
I2 0.300 0.300 0.771
I3 0.300 0.999 0.252
I4 0.700 0.001 0.748
I5 0.700 0.700 0.229
I6 0.999 0.300 0.252

Computed, not measured: an optimized crystal structure of Hf3BeB at the PBE level of DFT.

**M_tot**: 0.00 μB/f.u.
**Calculated volume**: 92.0 Å³ per cell
**Calculated density**: 10.02 Mg/m³
**Space-group type**: Pm-3m
**Energy relative to the elements**: 4 meV per atom
**Total energy**: -40.24 eV for the cell shown

Lattice parameters (Å, degrees): 4.515 4.515 4.515 90.00 90.00 90.00
Fractional coordinates of all 5 atoms:
Hf1 0.000 0.000 0.500
Hf2 0.000 0.500 0.000
Hf3 0.500 0.000 0.000
Be1 0.500 0.500 0.500
B1 0.000 0.000 0.000

Computed, not measured: an optimized crystal structure of ZrSi2Pd2 at the PBE level of DFT.

**M_tot**: 0.00 μB/f.u.
**Calculated volume**: 161.2 Å³ per cell
**Calculated density**: 7.42 Mg/m³
**Space-group type**: Cmc2_1
**Formation energy from raw total energies**: -785 meV per atom
**Total energy**: -67.40 eV for the cell shown

Lattice parameters (Å, degrees): 5.973 5.973 7.384 90.00 90.00 142.28
Fractional coordinates of all 10 atoms:
Zr1 0.090 0.910 0.500
Zr2 0.910 0.090 0.000
Si1 0.249 0.751 0.806
Si2 0.447 0.553 0.678
Si3 0.553 0.447 0.178
Si4 0.751 0.249 0.306
Pd1 0.184 0.816 0.115
Pd2 0.382 0.618 0.353
Pd3 0.618 0.382 0.853
Pd4 0.816 0.184 0.615

Computed, not measured: an optimized crystal structure of SmTmTe2 at the PBE level of DFT.

**M_tot**: 0.00 μB/f.u.
**Calculated volume**: 118.7 Å³ per cell
**Calculated density**: 8.04 Mg/m³
**Space-group type**: R3m
**Formation energy from raw total energies**: -1318 meV per atom
**Total energy**: -20.75 eV for the cell shown

Lattice parameters (Å, degrees): 8.002 8.002 8.002 30.74 30.74 30.74
Fractional coordinates of all 4 atoms:
Sm1 0.000 0.000 0.000
Tm1 0.174 0.174 0.174
Te1 0.582 0.582 0.582
Te2 0.758 0.758 0.758

Computed, not measured: an optimized crystal structure of LiRhW2 at the PBE level of DFT.

**M_tot**: 0.00 μB/f.u.
**Calculated volume**: 62.4 Å³ per cell
**Calculated density**: 12.70 Mg/m³
**Space-group type**: Cmmm
**Energy relative to the elements**: 343 meV per atom
**Total energy**: -33.80 eV for the cell shown

Lattice parameters (Å, degrees): 2.678 2.678 9.478 90.00 90.00 113.29
Fractional coordinates of all 4 atoms:
Li1 0.000 0.000 0.000
Rh1 0.000 0.000 0.500
W1 0.500 0.500 0.259
W2 0.500 0.500 0.741

Computed, not measured: an optimized crystal structure of Tb6Pr2Y3Mg at the PBE level of DFT.

**M_tot**: 0.00 μB/f.u.
**Calculated volume**: 384.5 Å³ per cell
**Calculated density**: 6.59 Mg/m³
**Space-group type**: C2/m
**Energy relative to the elements**: 19 meV per atom
**Total energy**: -58.10 eV for the cell shown

Lattice parameters (Å, degrees): 6.175 6.175 11.828 95.02 95.02 120.03
Fractional coordinates of all 12 atoms:
Tb1 0.083 0.415 0.751
Tb2 0.248 0.248 0.248
Tb3 0.415 0.083 0.751
Tb4 0.585 0.917 0.249
Tb5 0.752 0.752 0.752
Tb6 0.917 0.585 0.249
Pr1 0.333 0.667 0.500
Pr2 0.667 0.333 0.500
Y1 0.166 0.834 0.000
Y2 0.500 0.500 0.000
Y3 0.834 0.166 0.000
Mg1 0.000 0.000 0.500

What did the second record say?
Computed, not measured: an optimized crystal structure of Hf3BeB at the PBE level of DFT.

**M_tot**: 0.00 μB/f.u.
**Calculated volume**: 92.0 Å³ per cell
**Calculated density**: 10.02 Mg/m³
**Space-group type**: Pm-3m
**Energy relative to the elements**: 4 meV per atom
**Total energy**: -40.24 eV for the cell shown

Lattice parameters (Å, degrees): 4.515 4.515 4.515 90.00 90.00 90.00
Fractional coordinates of all 5 atoms:
Hf1 0.000 0.000 0.500
Hf2 0.000 0.500 0.000
Hf3 0.500 0.000 0.000
Be1 0.500 0.500 0.500
B1 0.000 0.000 0.000

Copy entry 6 word for word.
Computed, not measured: an optimized crystal structure of Tb6Pr2Y3Mg at the PBE level of DFT.

**M_tot**: 0.00 μB/f.u.
**Calculated volume**: 384.5 Å³ per cell
**Calculated density**: 6.59 Mg/m³
**Space-group type**: C2/m
**Energy relative to the elements**: 19 meV per atom
**Total energy**: -58.10 eV for the cell shown

Lattice parameters (Å, degrees): 6.175 6.175 11.828 95.02 95.02 120.03
Fractional coordinates of all 12 atoms:
Tb1 0.083 0.415 0.751
Tb2 0.248 0.248 0.248
Tb3 0.415 0.083 0.751
Tb4 0.585 0.917 0.249
Tb5 0.752 0.752 0.752
Tb6 0.917 0.585 0.249
Pr1 0.333 0.667 0.500
Pr2 0.667 0.333 0.500
Y1 0.166 0.834 0.000
Y2 0.500 0.500 0.000
Y3 0.834 0.166 0.000
Mg1 0.000 0.000 0.500